1.
Computed, not measured: NdPaSb after structural relaxation at the PBE-GGA level of DFT.

abc: 5.2424 5.2424 5.2424
angles: 60.00 60.00 60.00
Last column: nearest neighbours and their distance in Å.
Positions (direct):
Nd (0.2500, 0.2500, 0.2500)  4 Pa 3.21
Pa (0.0000, 0.0000, 0.0000)  4 Nd 3.21, 4 Sb 3.21
Sb (0.7500, 0.7500, 0.7500)  4 Pa 3.21

Summary:
As for the energy above the most stable polymorph in this dataset: 0 meV per atom. The calculation puts the size of the total moment at 3.6 μB/cell. As for the symmetry: F-43m.

---

2.
Computed, not measured: NdScPa after structural relaxation at the PBE-GGA level of DFT.

abc: 5.1284 5.1284 5.1284
angles: 60.00 60.00 60.00
Last column: nearest neighbours and their distance in Å.
Positions (direct):
Pa (0.7500, 0.7500, 0.7500)  4 Sc 3.14
Nd (0.2500, 0.2500, 0.2500)  4 Sc 3.14
Sc (0.0000, 0.0000, 0.0000)  4 Nd 3.14, 4 Pa 3.14

Summary:
The value obtained for the energy relative to the elements is 0.988 eV per atom. As for the energy above the most stable polymorph in this dataset: 0 meV per atom. The calculation puts the size of the total moment at 1.1 μB/cell. As for the symmetry: F-43m.

---

3.
Computed, not measured: Nd2Pa2Se7 after structural relaxation at the PBE-GGA level of DFT.

abc: 9.0110 9.0110 9.0110
angles: 153.58 67.34 119.32
Last column: nearest neighbours and their distance in Å.
Positions (direct):
Se (0.5005, 0.1067, 0.3938)  3 Pa 2.95-3.05, 2 Nd 3.12, 1 Se 3.18
Se (0.0647, 0.8849, 0.1798)  1 Pa 2.85, 3 Nd 2.90-2.97
Se (0.0128, 0.5128, 0.5000)  3 Pa 2.92-2.94
Se (0.7051, 0.8849, 0.8202)  1 Pa 2.85, 3 Nd 2.90-2.97
Se (0.1508, 0.2834, 0.8674)  2 Pa 2.90, 2 Nd 3.15
Se (0.4159, 0.2834, 0.1326)  2 Pa 2.90, 2 Nd 3.15
Se (0.7128, 0.1067, 0.6062)  3 Pa 2.95-3.05, 2 Nd 3.12, 1 Se 3.18
Pa (0.3334, 0.8334, 0.5000)  7 Se 2.90-2.95
Pa (0.7820, 0.7820, 0.0000)  8 Se 2.85-3.05
Nd (0.3260, 0.5879, 0.7382)  7 Se 2.90-3.15
Nd (0.8497, 0.5879, 0.2618)  7 Se 2.90-3.15

Summary:
The calculation puts the size of the total moment at 1.9 μB/cell. As for the symmetry: Imm2.

---

4.
Computed, not measured: NdSmPa after structural relaxation at the PBE-GGA level of DFT.

abc: 5.2382 5.2382 5.2382
angles: 60.00 60.00 60.00
Last column: nearest neighbours and their distance in Å.
Positions (direct):
Sm (0.2500, 0.2500, 0.2500)  4 Nd 3.21
Nd (0.0000, 0.0000, 0.0000)  4 Pa 3.21, 4 Sm 3.21
Pa (0.7500, 0.7500, 0.7500)  4 Nd 3.21

Summary:
The value obtained for the energy relative to the elements is 1.081 eV per atom. As for the energy above the most stable polymorph in this dataset: 0 meV per atom. The calculation puts the size of the total moment at 1.8 μB/cell. As for the symmetry: F-43m.

---

5.
Computed, not measured: NdPaSn after structural relaxation at the PBE-GGA level of DFT.

abc: 5.1974 5.1974 5.1974
angles: 60.00 60.00 60.00
Last column: nearest neighbours and their distance in Å.
Positions (direct):
Nd (0.2500, 0.2500, 0.2500)  4 Sn 3.18
Pa (0.7500, 0.7500, 0.7500)  4 Sn 3.18
Sn (0.0000, 0.0000, 0.0000)  4 Nd 3.18, 4 Pa 3.18

Summary:
As for the energy above the most stable polymorph in this dataset: 0 meV per atom. The calculation puts the size of the total moment at 1.8 μB/cell. As for the symmetry: F-43m.

---

6.
Computed, not measured: SrNdPa after structural relaxation at the PBE-GGA level of DFT.

abc: 5.4766 5.4766 5.4766
angles: 60.00 60.00 60.00
Last column: nearest neighbours and their distance in Å.
Positions (direct):
Sr (0.7500, 0.7500, 0.7500)  4 Nd 3.35
Pa (0.2500, 0.2500, 0.2500)  4 Nd 3.35
Nd (0.0000, 0.0000, 0.0000)  4 Pa 3.35, 4 Sr 3.35

Summary:
As for the energy above the most stable polymorph in this dataset: 0 meV per atom. The calculation puts the size of the total moment at 2.5 μB/cell. As for the symmetry: F-43m.

---

no.,E_tot (eV/atom)
1,-5.639
2,-5.874
3,-6.410
4,-5.242
5,-5.908
6,-4.012